[1]
# Na3CuI PBE relaxed
# **Polymorph energy (0 for the lowest one)**: 0.00 eV per formula unit
# **Energy relative to the elements, uncorrected**: -111 meV/atom
# **Density**: 2.5 g cm⁻³
# **Volume**: 33.946 Å³ per atom
# **Crystal system**: cubic
data_Na3CuI
_space_group_name_H-M_alt 'P 1'
_space_group_IT_number 1
_cell_length_a 5.537
_cell_length_b 5.537
_cell_length_c 5.537
_cell_angle_alpha 90.00
_cell_angle_beta 90.00
_cell_angle_gamma 90.00
loop_
_space_group_symop_operation_xyz
'x,y,z'
loop_
_atom_site_label
_atom_site_type_symbol
_atom_site_fract_x
_atom_site_fract_y
_atom_site_fract_z
I1 I 0.500 0.500 0.500
Na1 Na 0.000 0.500 0.000
Na2 Na 0.000 0.000 0.500
Na3 Na 0.500 0.000 0.000
Cu1 Cu 0.000 0.000 0.000

[2]
# Na2CuI3 PBE relaxed
# **Polymorph energy (0 for the lowest one)**: 0.00 eV per formula unit
# **Energy relative to the elements, uncorrected**: -852 meV/atom
# **Density**: 4.1 g cm⁻³
# **Volume**: 33.092 Å³ per atom
# **Crystal system**: orthorhombic
data_Na2CuI3
_space_group_name_H-M_alt 'P 1'
_space_group_IT_number 1
_cell_length_a 4.352
_cell_length_b 12.669
_cell_length_c 14.405
_cell_angle_alpha 90.00
_cell_angle_beta 90.00
_cell_angle_gamma 90.00
loop_
_space_group_symop_operation_xyz
'x,y,z'
loop_
_atom_site_label
_atom_site_type_symbol
_atom_site_fract_x
_atom_site_fract_y
_atom_site_fract_z
Na1 Na 0.750 0.248 0.024
Na2 Na 0.750 0.748 0.476
Na3 Na 0.250 0.752 0.976
Na4 Na 0.250 0.252 0.524
Na5 Na 0.750 0.000 0.252
Na6 Na 0.750 0.500 0.248
Na7 Na 0.250 0.000 0.748
Na8 Na 0.250 0.500 0.752
Cu1 Cu 0.750 0.750 0.778
Cu2 Cu 0.750 0.250 0.722
Cu3 Cu 0.250 0.250 0.222
Cu4 Cu 0.250 0.750 0.278
I1 I 0.750 0.916 0.890
I2 I 0.750 0.416 0.610
I3 I 0.250 0.084 0.110
I4 I 0.250 0.584 0.390
I5 I 0.750 0.586 0.892
I6 I 0.750 0.086 0.608
I7 I 0.250 0.414 0.108
I8 I 0.250 0.914 0.392
I9 I 0.750 0.750 0.169
I10 I 0.750 0.250 0.331
I11 I 0.250 0.250 0.831
I12 I 0.250 0.750 0.669

[3]
# NaCu2I3 PBE relaxed
# **Polymorph energy (0 for the lowest one)**: 0.00 eV per formula unit
# **Energy relative to the elements, uncorrected**: -474 meV/atom
# **Density**: 4.5 g cm⁻³
# **Volume**: 32.524 Å³ per atom
# **Crystal system**: monoclinic
data_NaCu2I3
_space_group_name_H-M_alt 'P 1'
_space_group_IT_number 1
_cell_length_a 7.963
_cell_length_b 7.963
_cell_length_c 7.608
_cell_angle_alpha 99.28
_cell_angle_beta 99.28
_cell_angle_gamma 121.09
loop_
_space_group_symop_operation_xyz
'x,y,z'
loop_
_atom_site_label
_atom_site_type_symbol
_atom_site_fract_x
_atom_site_fract_y
_atom_site_fract_z
Na1 Na 0.097 0.921 0.476
Na2 Na 0.921 0.097 0.976
Cu1 Cu 0.592 0.427 0.014
Cu2 Cu 0.759 0.275 0.518
Cu3 Cu 0.427 0.592 0.514
Cu4 Cu 0.275 0.759 0.018
I1 I 0.048 0.263 0.400
I2 I 0.263 0.048 0.900
I3 I 0.885 0.436 0.884
I4 I 0.436 0.885 0.384
I5 I 0.517 0.676 0.879
I6 I 0.676 0.517 0.379

[4]
# NaCu3I4 PBE relaxed
# **Polymorph energy (0 for the lowest one)**: 0.00 eV per formula unit
# **Energy relative to the elements, uncorrected**: -388 meV/atom
# **Density**: 4.8 g cm⁻³
# **Volume**: 31.481 Å³ per atom
# **Crystal system**: orthorhombic
data_NaCu3I4
_space_group_name_H-M_alt 'P 1'
_space_group_IT_number 1
_cell_length_a 7.351
_cell_length_b 7.706
_cell_length_c 8.892
_cell_angle_alpha 90.00
_cell_angle_beta 90.00
_cell_angle_gamma 90.00
loop_
_space_group_symop_operation_xyz
'x,y,z'
loop_
_atom_site_label
_atom_site_type_symbol
_atom_site_fract_x
_atom_site_fract_y
_atom_site_fract_z
I1 I 0.144 0.793 0.000
I2 I 0.578 0.156 0.000
I3 I 0.146 0.351 0.273
I4 I 0.646 0.649 0.227
I5 I 0.078 0.844 0.500
I6 I 0.644 0.207 0.500
I7 I 0.646 0.649 0.773
I8 I 0.146 0.351 0.727
Na1 Na 0.994 0.162 0.000
Na2 Na 0.494 0.838 0.500
Cu1 Cu 0.502 0.821 0.000
Cu2 Cu 0.003 0.665 0.250
Cu3 Cu 0.503 0.335 0.250
Cu4 Cu 0.002 0.179 0.500
Cu5 Cu 0.503 0.335 0.750
Cu6 Cu 0.003 0.665 0.750

[5]
# NaCu2I PBE relaxed
# **Polymorph energy (0 for the lowest one)**: 0.32 eV per formula unit
# **Energy relative to the elements, uncorrected**: 445 meV/atom
# **Density**: 5.5 g cm⁻³
# **Volume**: 20.904 Å³ per atom
# **Crystal system**: cubic
data_NaCu2I
_space_group_name_H-M_alt 'P 1'
_space_group_IT_number 1
_cell_length_a 4.908
_cell_length_b 4.908
_cell_length_c 4.908
_cell_angle_alpha 60.00
_cell_angle_beta 60.00
_cell_angle_gamma 60.00
loop_
_space_group_symop_operation_xyz
'x,y,z'
loop_
_atom_site_label
_atom_site_type_symbol
_atom_site_fract_x
_atom_site_fract_y
_atom_site_fract_z
I1 I 0.500 0.500 0.500
Na1 Na 0.000 0.000 0.000
Cu1 Cu 0.250 0.250 0.250
Cu2 Cu 0.750 0.750 0.750

[6]
# Na2CuI3 PBE relaxed
# **Polymorph energy (0 for the lowest one)**: 0.14 eV per formula unit
# **Energy relative to the elements, uncorrected**: -829 meV/atom
# **Density**: 3.5 g cm⁻³
# **Volume**: 38.455 Å³ per atom
# **Crystal system**: orthorhombic
data_Na2CuI3
_space_group_name_H-M_alt 'P 1'
_space_group_IT_number 1
_cell_length_a 4.576
_cell_length_b 6.963
_cell_length_c 8.354
_cell_angle_alpha 114.63
_cell_angle_beta 105.89
_cell_angle_gamma 90.00
loop_
_space_group_symop_operation_xyz
'x,y,z'
loop_
_atom_site_label
_atom_site_type_symbol
_atom_site_fract_x
_atom_site_fract_y
_atom_site_fract_z
Na1 Na 0.839 0.596 0.677
Na2 Na 0.161 0.918 0.323
Cu1 Cu 0.500 0.249 0.000
I1 I 0.000 0.049 0.000
I2 I 0.349 0.314 0.698
I3 I 0.651 0.616 0.302

[7]
# Na2CuI4 PBE relaxed
# **Polymorph energy (0 for the lowest one)**: 0.63 eV per formula unit
# **Energy relative to the elements, uncorrected**: -604 meV/atom
# **Density**: 4.1 g cm⁻³
# **Volume**: 35.610 Å³ per atom
# **Crystal system**: tetragonal
data_Na2CuI4
_space_group_name_H-M_alt 'P 1'
_space_group_IT_number 1
_cell_length_a 5.594
_cell_length_b 5.594
_cell_length_c 8.893
_cell_angle_alpha 108.33
_cell_angle_beta 108.33
_cell_angle_gamma 90.00
loop_
_space_group_symop_operation_xyz
'x,y,z'
loop_
_atom_site_label
_atom_site_type_symbol
_atom_site_fract_x
_atom_site_fract_y
_atom_site_fract_z
I1 I 0.827 0.827 0.655
I2 I 0.173 0.173 0.345
I3 I 0.000 0.500 0.000
I4 I 0.500 0.000 0.000
Na1 Na 0.630 0.630 0.260
Na2 Na 0.370 0.370 0.740
Cu1 Cu 0.000 0.000 0.000

[8]
# NaCu2I PBE relaxed
# **Polymorph energy (0 for the lowest one)**: 0.00 eV per formula unit
# **Energy relative to the elements, uncorrected**: 365 meV/atom
# **Density**: 4.8 g cm⁻³
# **Volume**: 24.013 Å³ per atom
# **Crystal system**: tetragonal
data_NaCu2I
_space_group_name_H-M_alt 'P 1'
_space_group_IT_number 1
_cell_length_a 8.257
_cell_length_b 8.257
_cell_length_c 6.483
_cell_angle_alpha 50.45
_cell_angle_beta 50.45
_cell_angle_gamma 90.00
loop_
_space_group_symop_operation_xyz
'x,y,z'
loop_
_atom_site_label
_atom_site_type_symbol
_atom_site_fract_x
_atom_site_fract_y
_atom_site_fract_z
I1 I 0.000 0.000 0.000
I2 I 0.750 0.250 0.500
Na1 Na 0.500 0.500 0.000
Na2 Na 0.250 0.750 0.500
Cu1 Cu 0.668 0.125 0.250
Cu2 Cu 0.082 0.625 0.250
Cu3 Cu 0.375 0.332 0.750
Cu4 Cu 0.875 0.918 0.750

[9]
# NaCuI PBE relaxed
# **Polymorph energy (0 for the lowest one)**: 0.00 eV per formula unit
# **Energy relative to the elements, uncorrected**: -362 meV/atom
# **Density**: 4.0 g cm⁻³
# **Volume**: 29.525 Å³ per atom
# **Crystal system**: monoclinic
data_NaCuI
_space_group_name_H-M_alt 'P 1'
_space_group_IT_number 1
_cell_length_a 6.527
_cell_length_b 4.285
_cell_length_c 6.554
_cell_angle_alpha 90.00
_cell_angle_beta 104.87
_cell_angle_gamma 90.00
loop_
_space_group_symop_operation_xyz
'x,y,z'
loop_
_atom_site_label
_atom_site_type_symbol
_atom_site_fract_x
_atom_site_fract_y
_atom_site_fract_z
Na1 Na 0.958 0.000 0.046
Na2 Na 0.435 0.000 0.524
Cu1 Cu 0.094 0.500 0.388
Cu2 Cu 0.320 0.500 0.163
I1 I 0.566 0.500 0.916
I2 I 0.935 0.000 0.546

[10]
# Na3CuI PBE relaxed
# **Polymorph energy (0 for the lowest one)**: 0.79 eV per formula unit
# **Energy relative to the elements, uncorrected**: 47 meV/atom
# **Density**: 2.1 g cm⁻³
# **Volume**: 41.895 Å³ per atom
# **Crystal system**: cubic
data_Na3CuI
_space_group_name_H-M_alt 'P 1'
_space_group_IT_number 1
_cell_length_a 5.939
_cell_length_b 5.939
_cell_length_c 5.939
_cell_angle_alpha 90.00
_cell_angle_beta 90.00
_cell_angle_gamma 90.00
loop_
_space_group_symop_operation_xyz
'x,y,z'
loop_
_atom_site_label
_atom_site_type_symbol
_atom_site_fract_x
_atom_site_fract_y
_atom_site_fract_z
I1 I 0.000 0.000 0.000
Na1 Na 0.000 0.500 0.000
Na2 Na 0.000 0.000 0.500
Na3 Na 0.500 0.000 0.000
Cu1 Cu 0.500 0.500 0.500

[11]
# NaCuI PBE relaxed
# **Polymorph energy (0 for the lowest one)**: 0.02 eV per formula unit
# **Energy relative to the elements, uncorrected**: -354 meV/atom
# **Density**: 4.2 g cm⁻³
# **Volume**: 28.026 Å³ per atom
# **Crystal system**: triclinic
data_NaCuI
_space_group_name_H-M_alt 'P 1'
_space_group_IT_number 1
_cell_length_a 4.228
_cell_length_b 6.385
_cell_length_c 6.690
_cell_angle_alpha 81.01
_cell_angle_beta 89.81
_cell_angle_gamma 70.70
loop_
_space_group_symop_operation_xyz
'x,y,z'
loop_
_atom_site_label
_atom_site_type_symbol
_atom_site_fract_x
_atom_site_fract_y
_atom_site_fract_z
Na1 Na 0.616 0.764 0.718
Na2 Na 0.384 0.236 0.282
Cu1 Cu 0.067 0.866 0.390
Cu2 Cu 0.933 0.134 0.610
I1 I 0.337 0.323 0.784
I2 I 0.663 0.677 0.216

[12]
# NaCu2I3 PBE relaxed
# **Polymorph energy (0 for the lowest one)**: 0.05 eV per formula unit
# **Energy relative to the elements, uncorrected**: -466 meV/atom
# **Density**: 4.4 g cm⁻³
# **Volume**: 33.555 Å³ per atom
# **Crystal system**: monoclinic
data_NaCu2I3
_space_group_name_H-M_alt 'P 1'
_space_group_IT_number 1
_cell_length_a 4.245
_cell_length_b 7.710
_cell_length_c 13.078
_cell_angle_alpha 109.83
_cell_angle_beta 90.00
_cell_angle_gamma 90.00
loop_
_space_group_symop_operation_xyz
'x,y,z'
loop_
_atom_site_label
_atom_site_type_symbol
_atom_site_fract_x
_atom_site_fract_y
_atom_site_fract_z
Na1 Na 0.250 0.692 0.307
Na2 Na 0.750 0.308 0.693
Cu1 Cu 0.250 0.462 0.932
Cu2 Cu 0.750 0.538 0.068
Cu3 Cu 0.750 0.020 0.435
Cu4 Cu 0.250 0.980 0.565
I1 I 0.750 0.895 0.221
I2 I 0.250 0.105 0.779
I3 I 0.750 0.648 0.898
I4 I 0.250 0.352 0.102
I5 I 0.250 0.256 0.489
I6 I 0.750 0.744 0.511